(1)
Material: HgPbNO
Method: DFT, PBE
State: relaxed

Results
DFT total energy   -3.962 eV per atom
ρ   8543 kg/m3

The structure in CIF format:
```
data_HgPbNO
_cell_length_a 4.360
_cell_length_b 4.360
_cell_length_c 8.954
_cell_angle_alpha 90.00
_cell_angle_beta 90.00
_cell_angle_gamma 90.00
_space_group_name_H-M_alt 'P 4/n m m'
_space_group_IT_number 129
loop_
_space_group_symop_operation_xyz
'x,y,z'
'-x,-y,-z'
'-y+1/2,x,z'
'y+1/2,-x,-z'
'-x+1/2,-y+1/2,z'
'x+1/2,y+1/2,-z'
'y,-x+1/2,z'
'-y,x+1/2,-z'
'x+1/2,-y,-z'
'-x+1/2,y,z'
'-y,-x,-z'
'y,x,z'
'-x,y+1/2,-z'
'x,-y+1/2,z'
'y+1/2,x+1/2,-z'
'-y+1/2,-x+1/2,z'
loop_
_atom_site_label
_atom_site_type_symbol
_atom_site_fract_x
_atom_site_fract_y
_atom_site_fract_z
Hg1 Hg 0.250 0.750 0.000
Pb1 Pb 0.250 0.250 0.383
N1 N 0.250 0.250 0.963
O1 O 0.250 0.750 0.500
```

=====

(2)
Material: PrHgNO
Method: DFT, PBE
State: relaxed

Results
DFT total energy   -5.604 eV per atom
ρ   8321 kg/m3

The structure in CIF format:
```
data_PrHgNO
_cell_length_a 4.098
_cell_length_b 6.322
_cell_length_c 5.723
_cell_angle_alpha 90.00
_cell_angle_beta 90.00
_cell_angle_gamma 90.00
_space_group_name_H-M_alt 'P m c 21'
_space_group_IT_number 26
loop_
_space_group_symop_operation_xyz
'x,y,z'
'-x,-y,z+1/2'
'-x,y,z'
'x,-y,z+1/2'
loop_
_atom_site_label
_atom_site_type_symbol
_atom_site_fract_x
_atom_site_fract_y
_atom_site_fract_z
Pr1 Pr 0.000 0.209 0.000
Hg1 Hg 0.500 0.267 0.486
N1 N 0.000 0.160 0.427
O1 O 0.500 0.349 0.917
```

=====

(3)
Material: PrHgNO
Method: DFT, PBE
State: relaxed

Results
DFT total energy   -5.520 eV per atom
ρ   9606 kg/m3

The structure in CIF format:
```
data_PrHgNO
_cell_length_a 5.212
_cell_length_b 5.212
_cell_length_c 4.727
_cell_angle_alpha 90.00
_cell_angle_beta 90.00
_cell_angle_gamma 90.00
_space_group_name_H-M_alt 'P 4/n m m'
_space_group_IT_number 129
loop_
_space_group_symop_operation_xyz
'x,y,z'
'-x,-y,-z'
'-y+1/2,x,z'
'y+1/2,-x,-z'
'-x+1/2,-y+1/2,z'
'x+1/2,y+1/2,-z'
'y,-x+1/2,z'
'-y,x+1/2,-z'
'x+1/2,-y,-z'
'-x+1/2,y,z'
'-y,-x,-z'
'y,x,z'
'-x,y+1/2,-z'
'x,-y+1/2,z'
'y+1/2,x+1/2,-z'
'-y+1/2,-x+1/2,z'
loop_
_atom_site_label
_atom_site_type_symbol
_atom_site_fract_x
_atom_site_fract_y
_atom_site_fract_z
Pr1 Pr 0.250 0.750 0.000
Hg1 Hg 0.250 0.250 0.497
N1 N 0.250 0.250 0.996
O1 O 0.250 0.750 0.500
```

=====

(4)
Material: PrHgNO
Method: DFT, PBE
State: relaxed

Results
DFT total energy   -5.581 eV per atom
ρ   7332 kg/m3

The structure in CIF format:
```
data_PrHgNO
_cell_length_a 4.015
_cell_length_b 6.645
_cell_length_c 6.307
_cell_angle_alpha 90.00
_cell_angle_beta 90.00
_cell_angle_gamma 90.00
_space_group_name_H-M_alt 'P m c 21'
_space_group_IT_number 26
loop_
_space_group_symop_operation_xyz
'x,y,z'
'-x,-y,z+1/2'
'-x,y,z'
'x,-y,z+1/2'
loop_
_atom_site_label
_atom_site_type_symbol
_atom_site_fract_x
_atom_site_fract_y
_atom_site_fract_z
Pr1 Pr 0.000 0.151 0.000
Hg1 Hg 0.500 0.438 0.567
N1 N 0.500 0.305 0.864
O1 O 0.000 0.153 0.357
```

=====

(5)
Material: PrHgNO
Method: DFT, PBE
State: relaxed

Results
DFT total energy   -5.702 eV per atom
ρ   8480 kg/m3

The structure in CIF format:
```
data_PrHgNO
_cell_length_a 5.912
_cell_length_b 8.277
_cell_length_c 5.946
_cell_angle_alpha 90.00
_cell_angle_beta 90.00
_cell_angle_gamma 90.00
_space_group_name_H-M_alt 'P c a 21'
_space_group_IT_number 29
loop_
_space_group_symop_operation_xyz
'x,y,z'
'-x,-y,z+1/2'
'-x+1/2,y,z+1/2'
'x+1/2,-y,z'
loop_
_atom_site_label
_atom_site_type_symbol
_atom_site_fract_x
_atom_site_fract_y
_atom_site_fract_z
Pr1 Pr 0.033 0.135 0.000
Hg1 Hg 0.016 0.537 0.080
N1 N 0.110 0.338 0.300
O1 O 0.246 0.976 0.239
```

=====

(6)
Material: PrHgNO
Method: DFT, PBE
State: relaxed

Results
DFT total energy   -5.520 eV per atom
ρ   9306 kg/m3

The structure in CIF format:
```
data_PrHgNO
_cell_length_a 3.997
_cell_length_b 3.997
_cell_length_c 8.297
_cell_angle_alpha 90.00
_cell_angle_beta 90.00
_cell_angle_gamma 90.00
_space_group_name_H-M_alt 'P 4/n m m'
_space_group_IT_number 129
loop_
_space_group_symop_operation_xyz
'x,y,z'
'-x,-y,-z'
'-y+1/2,x,z'
'y+1/2,-x,-z'
'-x+1/2,-y+1/2,z'
'x+1/2,y+1/2,-z'
'y,-x+1/2,z'
'-y,x+1/2,-z'
'x+1/2,-y,-z'
'-x+1/2,y,z'
'-y,-x,-z'
'y,x,z'
'-x,y+1/2,-z'
'x,-y+1/2,z'
'y+1/2,x+1/2,-z'
'-y+1/2,-x+1/2,z'
loop_
_atom_site_label
_atom_site_type_symbol
_atom_site_fract_x
_atom_site_fract_y
_atom_site_fract_z
Pr1 Pr 0.250 0.250 0.147
Hg1 Hg 0.250 0.750 0.500
N1 N 0.250 0.250 0.684
O1 O 0.250 0.750 0.000
```

=====

(7)
Material: ReHgNO
Method: DFT, PBE
State: relaxed

Results
DFT total energy   -6.622 eV per atom
ρ   9818 kg/m3

The structure in CIF format:
```
data_ReHgNO
_cell_length_a 7.281
_cell_length_b 7.682
_cell_length_c 5.041
_cell_angle_alpha 90.00
_cell_angle_beta 90.00
_cell_angle_gamma 90.00
_space_group_name_H-M_alt 'P c a 21'
_space_group_IT_number 29
loop_
_space_group_symop_operation_xyz
'x,y,z'
'-x,-y,z+1/2'
'-x+1/2,y,z+1/2'
'x+1/2,-y,z'
loop_
_atom_site_label
_atom_site_type_symbol
_atom_site_fract_x
_atom_site_fract_y
_atom_site_fract_z
Re1 Re 0.177 0.071 0.000
Hg1 Hg 0.141 0.639 0.998
N1 N 0.150 0.288 0.011
O1 O 0.070 0.022 0.625
```

=====

(8)
Material: ReHgNO
Method: DFT, PBE
State: relaxed

Results
DFT total energy   -6.735 eV per atom
ρ   10220 kg/m3

The structure in CIF format:
```
data_ReHgNO
_cell_length_a 3.219
_cell_length_b 5.681
_cell_length_c 7.407
_cell_angle_alpha 90.00
_cell_angle_beta 90.00
_cell_angle_gamma 90.00
_space_group_name_H-M_alt 'P m c 21'
_space_group_IT_number 26
loop_
_space_group_symop_operation_xyz
'x,y,z'
'-x,-y,z+1/2'
'-x,y,z'
'x,-y,z+1/2'
loop_
_atom_site_label
_atom_site_type_symbol
_atom_site_fract_x
_atom_site_fract_y
_atom_site_fract_z
Re1 Re 0.000 0.056 0.000
Hg1 Hg 0.500 0.366 0.477
N1 N 0.500 0.233 0.014
O1 O 0.000 0.032 0.745
```

=====

Question: DFT total energy of number 7 (ReHgNO)?
Answer: -6.622 eV per atom

=====

Question: The lowest DFT total energy belongs to which entry?
Answer: number 8